No. 1
! La2DyAs3Rh4, relaxed, DFT PBE; values from VASP
&SYSTEM
  ibrav = 0, nat = 10, ntyp = 4
/
ATOMIC_SPECIES
La 138.91 La.upf
Dy 162.50 Dy.upf
As 74.92 As.upf
Rh 102.91 Rh.upf
CELL_PARAMETERS angstrom
4.171 0.000 0.000
0.000 4.171 0.000
0.000 0.000 11.473
ATOMIC_POSITIONS angstrom
La 0.000 2.085 2.622
La 2.085 0.000 8.851
Dy 0.000 0.000 5.737
As 0.000 2.085 10.031
As 2.085 0.000 1.442
As 2.085 2.085 5.737
Rh 0.000 0.000 0.000
Rh 0.000 2.085 7.569
Rh 2.085 0.000 3.904
Rh 2.085 2.085 0.000
! E, eV/atom: -6.78
! Fermi-level density of states, states/eV/f.u.: 5.865
! Formation energy from the elements, eV/f.u.: -10.03
! SG: P-4m2
! Volume, Å³/cell: 199.6

No. 2
! LaDyAs2Rh5, relaxed, DFT PBE; values from VASP
&SYSTEM
  ibrav = 0, nat = 9, ntyp = 4
/
ATOMIC_SPECIES
La 138.91 La.upf
Dy 162.50 Dy.upf
As 74.92 As.upf
Rh 102.91 Rh.upf
CELL_PARAMETERS angstrom
4.084 0.000 0.000
0.000 4.084 0.000
0.000 0.000 11.305
ATOMIC_POSITIONS angstrom
La 0.000 0.000 0.000
Dy 0.000 0.000 5.653
As 2.042 2.042 2.394
As 2.042 2.042 8.911
Rh 0.000 2.042 3.607
Rh 0.000 2.042 7.699
Rh 2.042 0.000 3.607
Rh 2.042 0.000 7.699
Rh 2.042 2.042 0.000
! E, eV/atom: -6.78
! Fermi-level density of states, states/eV/f.u.: 4.021
! Formation energy from the elements, eV/f.u.: -5.44
! SG: P4/mmm
! Volume, Å³/cell: 188.6

No. 3
! La2DyAs3Rh12, relaxed, DFT PBE; values from VASP
&SYSTEM
  ibrav = 0, nat = 18, ntyp = 4
/
ATOMIC_SPECIES
La 138.91 La.upf
Dy 162.50 Dy.upf
As 74.92 As.upf
Rh 102.91 Rh.upf
CELL_PARAMETERS angstrom
4.563 2.635 4.377
-4.563 2.635 4.377
0.000 -5.269 4.377
ATOMIC_POSITIONS angstrom
La 0.000 0.000 1.777
La 0.000 0.000 11.355
Dy 0.000 0.000 6.566
As -2.282 -1.317 4.377
As -2.282 1.317 8.755
As 0.000 2.635 4.377
Rh 0.000 -2.487 3.720
Rh -2.154 1.244 3.720
Rh -2.339 -1.350 6.766
Rh 0.000 -2.700 6.366
Rh -2.339 1.350 6.366
Rh -2.154 -1.244 9.412
Rh 2.154 1.244 3.720
Rh 2.339 -1.350 6.766
Rh 0.000 2.700 6.766
Rh 2.339 1.350 6.366
Rh 2.154 -1.244 9.412
Rh 0.000 2.487 9.412
! E, eV/atom: -6.80
! Fermi-level density of states, states/eV/f.u.: 18.462
! Formation energy from the elements, eV/f.u.: -5.79
! SG: R-3m
! Volume, Å³/cell: 315.7